Material: CeNi2F8
Method: DFT, PBE+U
State: relaxed Values from VASP.

Summary:
Space-group type ... C2/m, No. 12
VASP energy ... -4.998 eV/atom

Cell and atoms, written as Quantum ESPRESSO input:
```
&SYSTEM
  ibrav = 0, nat = 11, ntyp = 3
/
ATOMIC_SPECIES
Ce 140.12 Ce.upf
Ni 58.69 Ni.upf
F 19.00 F.upf
CELL_PARAMETERS angstrom
3.1495 -4.7945 0.0000
3.1495 4.7945 0.0000
-0.8308 0.0000 3.9965
ATOMIC_POSITIONS angstrom
Ce 0.0000 0.0000 0.0000
Ni 2.7341 1.5733 1.9982
Ni 2.7341 -1.5733 1.9982
F 0.7414 1.2382 2.3458
F 3.1495 2.5992 0.0000
F 0.7414 -1.2382 2.3458
F 2.1903 0.0000 0.7532
F 3.2779 0.0000 3.2433
F 4.7267 1.2382 1.6506
F 3.1495 -2.5992 0.0000
F 4.7267 -1.2382 1.6506
```